# 1
Material: SmSc2Sb
Method: DFT, GGA-PBE
State: relaxed

Cell lengths 3.7354, 3.7354, 30.3954 Å; angles 90.00, 90.00, 120.00 degrees
Space group R-3m (No. 166, hexagonal axes)
Symmetry-distinct sites (fractional):
Sm 0.0000 0.0000 0.0000 (multiplicity 3)
Sc 0.0000 0.0000 0.1057 (multiplicity 6)
Sb 0.0000 0.0000 0.5000 (multiplicity 3)

VASP energy   -5.369 eV per atom
Energy above the most stable polymorph in this dataset   568 meV/atom
Formation energy from raw total energies   0.029 eV/f.u.

# 2
Material: Sm2ScSb4
Method: DFT, GGA-PBE
State: relaxed

Cell lengths 4.3080, 4.3080, 11.2778 Å; angles 90.00, 90.00, 90.00 degrees
Space group P-4m2 (No. 115)
Symmetry-distinct sites (fractional):
Sm 0.0000 0.5000 0.2170 (multiplicity 2)
Sc 0.0000 0.0000 0.5000 (multiplicity 1)
Sb 0.0000 0.0000 0.0000 (multiplicity 1)
Sb 0.0000 0.5000 0.6699 (multiplicity 2)
Sb 0.5000 0.5000 0.0000 (multiplicity 1)

VASP energy   -5.424 eV per atom
Formation energy from raw total energies   -5.711 eV/f.u.